[1]
Ho3Si2Ni9Sb after structural relaxation. Source: the Alexandria database, functional PBE.

Cell and atoms, written as extended XYZ:
```
15
Lattice="6.2815 0.0000 0.0000 -3.1408 5.4400 0.0000 0.0000 0.0000 7.5294" Properties=species:S:1:pos:R:3 pbc="T T T"
Si 3.1408 1.8133 6.3163
Si 0.0000 3.6266 1.2132
Ni -1.5704 2.7200 0.0000
Ni 1.5704 2.7200 0.0000
Ho 0.0000 3.6266 5.3342
Ni 0.0000 2.2203 2.9248
Ni 1.9228 1.1102 4.6046
Ni 4.3587 1.1102 4.6046
Ni 1.2179 4.3298 2.9248
Ho 3.1408 1.8133 2.1952
Ho 0.0000 0.0000 0.0000
Ni 3.1408 0.0000 0.0000
Ni 3.1408 3.2196 4.6046
Ni -1.2179 4.3298 2.9248
Sb 0.0000 0.0000 3.7647
```

Calculated values
space group	P-3m1 (164)
energy relative to the elements, uncorrected	-0.238	eV/atom

=====

[2]
LiLa2HgAs after structural relaxation. Source: the Alexandria database, functional PBE.

Cell and atoms, written as extended XYZ:
```
5
Lattice="-5.3226 -2.7004 -0.4447 0.7760 -0.6953 -5.0653 2.5853 -5.2802 1.1209" Properties=species:S:1:pos:R:3 pbc="T T T"
Hg 0.0000 0.0000 0.0000
La -2.6613 -1.3502 -0.2223
Li -0.9807 -4.3380 -2.1945
La 1.2926 -2.6401 0.5604
As 0.3880 -0.3477 -2.5326
```

Calculated values
formation enthalpy at 0 K	24.6	kJ/mol of atoms
space group	P4/mmm (123)

=====

[3]
BaTlPb after structural relaxation. Source: the Alexandria database, functional PBE.

Cell and atoms, written as extended XYZ:
```
3
Lattice="-1.4202 2.7388 -6.3405 0.6030 -2.6890 -6.4904 -2.2831 -1.0838 6.5827" Properties=species:S:1:pos:R:3 pbc="T T T"
Tl -0.2562 0.0156 -4.0225
Ba -0.8153 0.0497 -12.8020
Pb -0.5628 0.0343 -8.8372
```

Calculated values
formation enthalpy at 0 K	-31.1	kJ/mol of atoms
space group	Imm2 (44)

=====

[4]
Mo3Ir2 after structural relaxation. Source: the Alexandria database, functional PBE.

Cell and atoms, written as extended XYZ:
```
10
Lattice="-4.8456 -6.2576 2.3197 -1.0848 -4.3233 5.5877 -5.2805 0.6450 0.5153" Properties=species:S:1:pos:R:3 pbc="T T T"
Mo -6.1397 -3.6202 3.6661
Mo -4.9428 -6.0927 2.5615
Ir -7.4162 -6.1029 3.4729
Mo -5.3618 -5.8225 5.4800
Ir -6.2704 -8.0239 6.7808
Mo -8.0295 -5.9739 6.0497
Ir -3.4070 -4.4910 3.9844
Mo -2.8999 -2.3191 2.3475
Mo -9.0775 -8.4367 7.3077
Ir -5.3126 -1.2805 2.5683
```

Calculated values
formation enthalpy at 0 K	-6.9	kJ/mol of atoms
space group	Fdd2 (43)
energy relative to the lowest polymorph listed for this composition	0.000	eV/atom

=====

Number 1: total magnetization 0.00 μB per cell. Number 2: total magnetization 0.00 μB per cell. Number 3: total magnetization 0.00 μB per cell. Number 4: total magnetization 0.00 μB per cell.